Material: Th4TcSb
Method: DFT, GGA-PBE
State: relaxed

Cell lengths 6.2439, 7.5264, 8.6219 Å; angles 105.11, 111.23, 90.00 degrees
With the nearest neighbours (Å) after each atom.
Positions (direct):
Th 0.2818 0.1336 0.3571  2 Tc 2.80-2.83
Th 0.0753 0.6336 0.3571  2 Tc 2.80-2.83
Th 0.6910 0.9461 0.1632  1 Tc 2.77
Th 0.4722 0.4461 0.1632  1 Tc 2.77
Th 0.3090 0.0539 0.8368  1 Tc 2.77
Th 0.5278 0.5539 0.8368  1 Tc 2.77
Th 0.7182 0.8664 0.6429  2 Tc 2.80-2.83
Th 0.9247 0.3664 0.6429  2 Tc 2.80-2.83
Tc 0.5000 0.5000 0.5000  6 Th 2.77-2.83
Tc 0.0000 0.0000 0.5000  6 Th 2.77-2.83
Sb 0.1154 0.7500 0.0000  10 Th 3.40-3.58
Sb 0.8846 0.2500 0.0000  10 Th 3.40-3.58

* formation energy without anion corrections: -0.224 eV/atom
* energy above the lowest structure with this stoichiometry: 83 kJ/mol of formula units

***

Material: Th4TcSb2
Method: DFT, GGA-PBE
State: relaxed

Cell lengths 6.7672, 6.7380, 9.5655 Å; angles 90.00, 108.93, 90.00 degrees
With the nearest neighbours (Å) after each atom.
Positions (direct):
Th 0.4866 0.4916 0.2327  1 Tc 2.65
Th 0.0716 0.7500 0.8664  1 Tc 2.84
Th 0.9284 0.2500 0.1336  1 Tc 2.84
Th 0.4866 0.0084 0.2327  1 Tc 2.65
Th 0.8603 0.2500 0.5587  1 Tc 2.60
Th 0.5134 0.9916 0.7673  1 Tc 2.65
Th 0.5134 0.5084 0.7673  1 Tc 2.65
Th 0.1397 0.7500 0.4413  1 Tc 2.60
Tc 0.1757 0.7500 0.1789  4 Th 2.60-2.84, 1 Sb 2.73
Tc 0.8243 0.2500 0.8211  4 Th 2.60-2.84, 1 Sb 2.73
Sb 0.7502 0.7500 0.0719  1 Tc 2.73
Sb 0.2498 0.2500 0.9281  1 Tc 2.73
Sb 0.2864 0.2500 0.4597  8 Th 3.27-3.50
Sb 0.7136 0.7500 0.5403  8 Th 3.27-3.50

* formation energy without anion corrections: -0.464 eV/atom

***

Material: Th4TcSb
Method: DFT, GGA-PBE
State: relaxed

Cell lengths 6.2471, 7.4195, 7.4195 Å; angles 90.00, 90.00, 90.00 degrees
With the nearest neighbours (Å) after each atom.
Positions (direct):
Th 0.0000 0.1813 0.6420  2 Tc 3.02, 2 Sb 3.36
Th 0.0000 0.8187 0.3580  2 Tc 3.02, 2 Sb 3.36
Th 0.0000 0.3580 0.1813  2 Tc 3.02, 2 Sb 3.36
Th 0.0000 0.6420 0.8187  2 Tc 3.02, 2 Sb 3.36
Th 0.5000 0.8187 0.6420  2 Tc 3.02, 2 Sb 3.36
Th 0.5000 0.1813 0.3580  2 Tc 3.02, 2 Sb 3.36
Th 0.5000 0.6420 0.1813  2 Tc 3.02, 2 Sb 3.36
Th 0.5000 0.3580 0.8187  2 Tc 3.02, 2 Sb 3.36
Tc 0.2500 0.5000 0.5000  8 Th 3.02, 2 Tc 3.12
Tc 0.7500 0.5000 0.5000  8 Th 3.02, 2 Tc 3.12
Sb 0.2500 0.0000 0.0000  2 Sb 3.12, 8 Th 3.36
Sb 0.7500 0.0000 0.0000  2 Sb 3.12, 8 Th 3.36

* formation energy without anion corrections: -0.367 eV/atom
* energy above the lowest structure with this stoichiometry: 0 kJ/mol of formula units